BaMgHg4 | GGA-PBE | relaxed

The structure in CIF format:
```
data_BaMgHg4
_space_group_name_H-M_alt 'P 1'
_space_group_IT_number 1
_space_group_name_Hall 'P 1'
_cell_length_a 10.0626
_cell_length_b 9.5703
_cell_length_c 9.4816
_cell_angle_alpha 97.39
_cell_angle_beta 115.88
_cell_angle_gamma 114.82
loop_
_atom_site_label
_atom_site_type_symbol
_atom_site_fract_x
_atom_site_fract_y
_atom_site_fract_z
Hg1 Hg 0.3786 0.3484 0.0662
Hg2 Hg 0.6014 0.1670 0.1464
Hg3 Hg 0.5662 0.7997 0.6531
Hg4 Hg 0.6214 0.6516 0.9338
Hg5 Hg 0.1887 0.5498 0.1003
Hg6 Hg 0.2947 0.8508 0.3723
Hg7 Hg 0.0080 0.2415 0.4673
Hg8 Hg 0.3986 0.8330 0.8536
Hg9 Hg 0.9920 0.7585 0.5327
Hg10 Hg 0.6974 0.5812 0.6144
Hg11 Hg 0.0064 0.0836 0.7334
Hg12 Hg 0.3026 0.4188 0.3856
Hg13 Hg 0.8113 0.4502 0.8997
Mg1 Mg 0.8331 0.4080 0.5097
Hg14 Hg 0.9936 0.9164 0.2666
Ba1 Ba 0.3655 0.1763 0.6940
Hg15 Hg 0.7053 0.1492 0.6277
Mg2 Mg 0.7692 0.5136 0.1777
Mg3 Mg 0.1669 0.5920 0.4903
Ba2 Ba 0.8785 0.1451 0.0360
Ba3 Ba 0.6345 0.8237 0.3060
Mg4 Mg 0.2308 0.4864 0.8223
Ba4 Ba 0.1215 0.8549 0.9640
Hg16 Hg 0.4338 0.2003 0.3469
```

Computed properties:
Fermi-level density of states: 11.0 states/eV per cell
M_tot: 0.00 μB/f.u.
DFT formation energy: -0.305 eV/atom